1.
{"formula": "Dy2AlP", "functional": "PBE", "state": "optimized geometry", "total_energy_ev_per_atom": -5.0008, "magmom_total_mub_per_cell": 0.0, "formation_energy_mev_per_atom": -412, "lattice": [[-3.472, -1.012, -1.032], [-0.536, -3.187, -1.922], [-2.370, -6.106, 7.106]], "species": ["P", "Al", "Dy", "Dy"], "frac_coords": [[0.500, 0.500, 0.500], [0.000, 0.000, 0.000], [0.109, 0.109, 0.672], [0.891, 0.891, 0.328]]}


2.
{"formula": "DyAlP2Rh5", "functional": "PBE", "state": "optimized geometry", "total_energy_ev_per_atom": -6.9956, "magmom_total_mub_per_cell": 0.0, "formation_energy_mev_per_atom": -782, "lattice": [[4.058, 0.000, 0.000], [0.000, 4.058, 0.000], [0.000, 0.000, 9.505]], "species": ["Dy", "Al", "P", "P", "Rh", "Rh", "Rh", "Rh", "Rh"], "frac_coords": [[0.000, 0.000, 0.500], [0.000, 0.000, 0.000], [0.500, 0.500, 0.264], [0.500, 0.500, 0.736], [0.000, 0.500, 0.158], [0.500, 0.000, 0.158], [0.000, 0.500, 0.842], [0.500, 0.000, 0.842], [0.500, 0.500, 0.500]]}


3.
{"formula": "Dy6AlP2Se3", "functional": "PBE", "state": "optimized geometry", "total_energy_ev_per_atom": -5.8789, "magmom_total_mub_per_cell": 0.0, "raw_formation_energy_ev_per_atom": -1.493, "lattice": [[-2.192, 3.244, -0.899], [-5.272, -1.859, 6.146], [7.219, 3.605, 4.372]], "species": ["Dy", "Dy", "Dy", "Dy", "Dy", "Dy", "Al", "P", "P", "Se", "Se", "Se"], "frac_coords": [[0.333, 0.903, 0.666], [0.672, 0.571, 0.345], [0.667, 0.097, 0.334], [0.004, 0.255, 0.008], [0.996, 0.745, 0.992], [0.328, 0.429, 0.655], [0.500, 0.000, 0.000], [0.832, 0.664, 0.665], [0.168, 0.336, 0.335], [0.500, 0.500, 0.000], [0.833, 0.169, 0.665], [0.167, 0.831, 0.335]]}


4.
{"formula": "DyPa2Al9", "functional": "PBE", "state": "optimized geometry", "total_energy_ev_per_atom": -5.0296, "magmom_total_mub_per_cell": 0.0, "formation_energy_mev_per_atom": -257, "lattice": [[5.494, 0.000, 0.000], [2.747, 4.758, 0.000], [2.747, 1.586, 8.865]], "species": ["Dy", "Pa", "Pa", "Al", "Al", "Al", "Al", "Al", "Al", "Al", "Al", "Al"], "frac_coords": [[0.000, 0.000, 0.000], [0.853, 0.853, 0.441], [0.147, 0.147, 0.559], [0.665, 0.665, 0.005], [0.335, 0.335, 0.995], [0.500, 0.500, 0.500], [0.414, 0.414, 0.251], [0.922, 0.414, 0.251], [0.414, 0.922, 0.251], [0.586, 0.586, 0.749], [0.586, 0.078, 0.749], [0.078, 0.586, 0.749]]}


5.
{"formula": "DyPaAl6", "functional": "PBE", "state": "optimized geometry", "total_energy_ev_per_atom": -4.9131, "magmom_total_mub_per_cell": 0.0, "formation_energy_mev_per_atom": -344, "lattice": [[4.608, 0.000, 0.000], [0.000, 5.542, -2.962], [0.000, -0.202, 6.281]], "species": ["Dy", "Pa", "Al", "Al", "Al", "Al", "Al", "Al"], "frac_coords": [[0.000, 0.083, 0.917], [0.500, 0.416, 0.584], [0.000, 0.044, 0.397], [0.000, 0.603, 0.956], [0.000, 0.603, 0.397], [0.500, 0.455, 0.103], [0.500, 0.897, 0.545], [0.500, 0.897, 0.103]]}


6.
{"formula": "DyPa2Al9", "functional": "PBE", "state": "optimized geometry", "total_energy_ev_per_atom": -5.0828, "magmom_total_mub_per_cell": 0.0, "formation_energy_mev_per_atom": -310, "lattice": [[4.290, 0.000, 0.000], [0.000, 4.290, 0.000], [0.000, 0.000, 12.883]], "species": ["Dy", "Pa", "Pa", "Al", "Al", "Al", "Al", "Al", "Al", "Al", "Al", "Al"], "frac_coords": [[0.000, 0.000, 0.000], [0.000, 0.000, 0.332], [0.000, 0.000, 0.668], [0.500, 0.500, 0.000], [0.500, 0.500, 0.333], [0.500, 0.500, 0.667], [0.500, 0.000, 0.166], [0.500, 0.000, 0.500], [0.500, 0.000, 0.834], [0.000, 0.500, 0.166], [0.000, 0.500, 0.500], [0.000, 0.500, 0.834]]}